The following is a DFT calculation (PBE+U) of a relaxed structure of MgVNF2.

Cell: 3.5970 3.5970 4.6304 Å, 90.00 90.00 90.00°
Sites, in units of the cell vectors:
F: 0.0000 0.5000 0.0000
N: 0.0000 0.0000 0.5000
V: 0.5000 0.5000 0.5000
Mg: 0.0000 0.0000 0.0000
F: 0.5000 0.0000 0.0000

Computed properties:
energy above the lowest structure with this stoichiometry = 141 meV per atom
DOS(E_F) = 0.31 states/eV/atom